(1)
Density functional theory data (PBE) for a relaxed structure of CeUZnO6.

Unit cell a=5.398 b=5.398 c=10.053 alpha=90.00 beta=90.00 gamma=120.00
Sites, in units of the cell vectors:
Ce  0.000  0.000  0.000
Ce  0.000  0.000  0.500
U  0.333  0.667  0.250
U  0.667  0.333  0.750
Zn  0.333  0.667  0.750
Zn  0.667  0.333  0.250
O  0.008  0.346  0.135
O  0.008  0.662  0.365
O  0.338  0.346  0.365
O  0.338  0.992  0.135
O  0.346  0.008  0.635
O  0.346  0.338  0.865
O  0.654  0.662  0.135
O  0.654  0.992  0.365
O  0.662  0.008  0.865
O  0.662  0.654  0.635
O  0.992  0.338  0.635
O  0.992  0.654  0.865

Properties
Volume = 14.093 Å³ per atom
Formation energy (no corrections) = -2.760 eV per atom

=====

(2)
Density functional theory data (PBE) for a relaxed structure of Ca2PrCuSe4.

Unit cell a=7.056 b=7.056 c=14.460 alpha=90.00 beta=90.00 gamma=146.19
Sites, in units of the cell vectors:
Ca  0.131  0.869  0.562
Ca  0.131  0.869  0.938
Ca  0.869  0.131  0.062
Ca  0.869  0.131  0.438
Pr  0.383  0.617  0.750
Pr  0.617  0.383  0.250
Cu  0.347  0.653  0.250
Cu  0.653  0.347  0.750
Se  0.048  0.952  0.750
Se  0.221  0.779  0.126
Se  0.221  0.779  0.374
Se  0.500  0.500  0.000
Se  0.500  0.500  0.500
Se  0.779  0.221  0.626
Se  0.779  0.221  0.874
Se  0.952  0.048  0.250

Properties
Volume = 25.036 Å³ per atom
Formation energy (no corrections) = -1.596 eV per atom

=====

(3)
Density functional theory data (PBE) for a relaxed structure of Tb3ZnGa.

Unit cell a=10.203 b=10.203 c=5.053 alpha=90.00 beta=90.00 gamma=151.30
Sites, in units of the cell vectors:
Tb  0.069  0.931  0.750
Tb  0.249  0.751  0.750
Tb  0.430  0.570  0.750
Tb  0.570  0.430  0.250
Tb  0.751  0.249  0.250
Tb  0.931  0.069  0.250
Zn  0.159  0.841  0.250
Zn  0.841  0.159  0.750
Ga  0.339  0.661  0.250
Ga  0.661  0.339  0.750

Properties
E_form = -177 kJ/mol of formula units
Volume = 25.255 Å³ per atom
Excess energy over the best structure of this formula in the dataset = 0.0 meV per atom

=====

(4)
Density functional theory data (PBE) for a relaxed structure of Pr3Nd2Rh2.

Unit cell a=6.563 b=6.563 c=9.242 alpha=114.10 beta=114.10 gamma=34.84
Sites, in units of the cell vectors:
Pr  0.000  0.000  0.000
Pr  0.115  0.115  0.428
Pr  0.885  0.885  0.572
Nd  0.330  0.330  0.188
Nd  0.670  0.670  0.812
Rh  0.321  0.321  0.757
Rh  0.679  0.679  0.243

Properties
E_form = -299 kJ/mol of formula units
Volume = 29.361 Å³ per atom

=====

(5)
Density functional theory data (PBE) for a relaxed structure of Mn3NbGa.

Unit cell a=4.720 b=4.720 c=4.720 alpha=90.00 beta=90.00 gamma=90.00
Sites, in units of the cell vectors:
Mn  0.000  0.000  0.500
Mn  0.000  0.500  0.000
Mn  0.500  0.000  0.000
Nb  0.000  0.000  0.000
Ga  0.500  0.500  0.500

Properties
E_form = 623 kJ/mol of formula units
Volume = 21.031 Å³ per atom
Excess energy over the best structure of this formula in the dataset = 327.2 meV per atom

=====

(6)
Density functional theory data (PBE) for a relaxed structure of Pr2PaSb3Rh4.

Unit cell a=4.474 b=4.474 c=11.303 alpha=90.00 beta=90.00 gamma=90.00
Sites, in units of the cell vectors:
Pr  0.000  0.500  0.219
Pr  0.500  0.000  0.781
Pa  0.000  0.000  0.500
Sb  0.000  0.500  0.869
Sb  0.500  0.000  0.131
Sb  0.500  0.500  0.500
Rh  0.000  0.000  0.000
Rh  0.000  0.500  0.637
Rh  0.500  0.000  0.363
Rh  0.500  0.500  0.000

Properties
Volume = 22.621 Å³ per atom
Formation energy (no corrections) = -0.823 eV per atom

=====

(7)
Density functional theory data (PBE) for a relaxed structure of TmCuHg2.

Unit cell a=3.404 b=3.404 c=7.127 alpha=90.00 beta=90.00 gamma=90.00
Sites, in units of the cell vectors:
Tm  0.000  0.000  0.000
Cu  0.000  0.000  0.500
Hg  0.500  0.500  0.283
Hg  0.500  0.500  0.717

Properties
E_form = -56 kJ/mol of formula units
Volume = 20.641 Å³ per atom

=====

(8)
Density functional theory data (PBE) for a relaxed structure of LiSi.

Unit cell a=4.386 b=4.386 c=4.386 alpha=60.00 beta=60.00 gamma=60.00
Sites, in units of the cell vectors:
Li  0.125  0.125  0.125
Li  0.875  0.875  0.875
Si  0.375  0.375  0.375
Si  0.625  0.625  0.625

Properties
Volume = 14.915 Å³ per atom
Formation energy (no corrections) = 0.082 eV per atom

=====

(9)
Density functional theory data (PBE) for a relaxed structure of HoMg2Ru.

Unit cell a=7.657 b=8.274 c=5.355 alpha=90.00 beta=90.00 gamma=90.00
Sites, in units of the cell vectors:
Ho  0.032  0.250  0.095
Ho  0.468  0.750  0.595
Ho  0.532  0.250  0.405
Ho  0.968  0.750  0.905
Mg  0.170  0.057  0.604
Mg  0.170  0.443  0.604
Mg  0.330  0.557  0.104
Mg  0.330  0.943  0.104
Mg  0.670  0.057  0.896
Mg  0.670  0.443  0.896
Mg  0.830  0.557  0.396
Mg  0.830  0.943  0.396
Ru  0.127  0.750  0.400
Ru  0.373  0.250  0.900
Ru  0.627  0.750  0.100
Ru  0.873  0.250  0.600

Properties
E_form = -79 kJ/mol of formula units
Volume = 21.203 Å³ per atom

=====

(10)
Density functional theory data (PBE) for a relaxed structure of HfNbPd2Au.

Unit cell a=4.799 b=4.799 c=5.042 alpha=90.00 beta=90.00 gamma=90.00
Sites, in units of the cell vectors:
Hf  0.000  0.000  0.000
Nb  0.000  0.000  0.500
Pd  0.000  0.500  0.000
Pd  0.500  0.000  0.000
Au  0.500  0.500  0.500

Properties
E_form = 504 kJ/mol of formula units
Volume = 23.221 Å³ per atom

=====

(11)
Density functional theory data (PBE) for a relaxed structure of LaNd4In3.

Unit cell a=11.370 b=7.284 c=5.862 alpha=90.00 beta=90.00 gamma=90.00
Sites, in units of the cell vectors:
La  0.000  0.000  0.000
La  0.500  0.000  0.000
Nd  0.000  0.256  0.500
Nd  0.000  0.744  0.500
Nd  0.250  0.260  0.092
Nd  0.250  0.740  0.092
Nd  0.500  0.256  0.500
Nd  0.500  0.744  0.500
Nd  0.750  0.260  0.908
Nd  0.750  0.740  0.908
In  0.000  0.500  0.000
In  0.250  0.000  0.600
In  0.250  0.500  0.602
In  0.500  0.500  0.000
In  0.750  0.000  0.400
In  0.750  0.500  0.398

Properties
E_form = -242 kJ/mol of formula units
Volume = 30.344 Å³ per atom
Excess energy over the best structure of this formula in the dataset = 48.8 meV per atom

=====

(12)
Density functional theory data (PBE) for a relaxed structure of CaLaSc2Ir.

Unit cell a=5.258 b=5.258 c=5.538 alpha=90.00 beta=90.00 gamma=90.00
Sites, in units of the cell vectors:
Ca  0.000  0.000  0.000
La  0.500  0.500  0.000
Sc  0.000  0.500  0.500
Sc  0.500  0.000  0.500
Ir  0.500  0.500  0.500

Properties
E_form = -143 kJ/mol of formula units
Volume = 30.627 Å³ per atom

=====

(13)
Density functional theory data (PBE) for a relaxed structure of Pm3Si8Os3.

Unit cell a=7.934 b=7.934 c=7.934 alpha=149.55 beta=103.56 gamma=84.46
Sites, in units of the cell vectors:
Pm  0.000  0.000  0.000
Pm  0.314  0.314  0.000
Pm  0.686  0.686  0.000
Si  0.034  0.667  0.367
Si  0.169  0.879  0.289
Si  0.300  0.667  0.633
Si  0.410  0.121  0.289
Si  0.590  0.879  0.711
Si  0.700  0.333  0.367
Si  0.831  0.121  0.711
Si  0.966  0.333  0.633
Os  0.275  0.500  0.775
Os  0.500  0.000  0.500
Os  0.725  0.500  0.225

Properties
Volume = 17.165 Å³ per atom
Formation energy (no corrections) = -0.461 eV per atom

=====

(14)
Density functional theory data (PBE) for a relaxed structure of CsSrTa3.

Unit cell a=5.294 b=5.294 c=5.294 alpha=90.00 beta=90.00 gamma=90.00
Sites, in units of the cell vectors:
Cs  0.000  0.000  0.000
Sr  0.500  0.500  0.500
Ta  0.000  0.500  0.500
Ta  0.500  0.000  0.500
Ta  0.500  0.500  0.000

Properties
E_form = 1503 kJ/mol of formula units
Volume = 29.673 Å³ per atom
Excess energy over the best structure of this formula in the dataset = 407.8 meV per atom

=====

(15)
Density functional theory data (PBE) for a relaxed structure of Np2Tl3Br9.

Unit cell a=10.274 b=10.274 c=10.274 alpha=85.31 beta=85.31 gamma=85.31
Sites, in units of the cell vectors:
Np  0.145  0.145  0.145
Np  0.355  0.355  0.355
Np  0.645  0.645  0.645
Np  0.855  0.855  0.855
Tl  0.038  0.750  0.462
Tl  0.250  0.538  0.962
Tl  0.462  0.038  0.750
Tl  0.538  0.962  0.250
Tl  0.750  0.462  0.038
Tl  0.962  0.250  0.538
Br  0.054  0.283  0.918
Br  0.082  0.946  0.717
Br  0.095  0.405  0.250
Br  0.217  0.446  0.582
Br  0.250  0.095  0.405
Br  0.283  0.918  0.054
Br  0.405  0.250  0.095
Br  0.418  0.783  0.554
Br  0.446  0.582  0.217
Br  0.554  0.418  0.783
Br  0.582  0.217  0.446
Br  0.595  0.750  0.905
Br  0.717  0.082  0.946
Br  0.750  0.905  0.595
Br  0.783  0.554  0.418
Br  0.905  0.595  0.750
Br  0.918  0.054  0.283
Br  0.946  0.717  0.082

Properties
Volume = 38.361 Å³ per atom
Formation energy (no corrections) = -1.094 eV per atom

=====

(16)
Density functional theory data (PBE) for a relaxed structure of Ca3Np3PdS8.

Unit cell a=7.980 b=7.980 c=7.980 alpha=58.26 beta=58.26 gamma=58.26
Sites, in units of the cell vectors:
Ca  0.000  0.500  0.500
Ca  0.500  0.000  0.500
Ca  0.500  0.500  0.000
Np  0.000  0.000  0.500
Np  0.000  0.500  0.000
Np  0.500  0.000  0.000
Pd  0.500  0.500  0.500
S  0.245  0.746  0.746
S  0.249  0.249  0.249
S  0.254  0.254  0.755
S  0.254  0.755  0.254
S  0.746  0.245  0.746
S  0.746  0.746  0.245
S  0.751  0.751  0.751
S  0.755  0.254  0.254

Properties
Volume = 23.000 Å³ per atom
Formation energy (no corrections) = -1.445 eV per atom

=====

(17)
Density functional theory data (PBE) for a relaxed structure of Pr2I4Br.

Unit cell a=11.054 b=11.054 c=4.081 alpha=90.00 beta=90.00 gamma=90.00
Sites, in units of the cell vectors:
Pr  0.169  0.169  0.000
Pr  0.331  0.669  0.500
Pr  0.669  0.331  0.500
Pr  0.831  0.831  0.000
I  0.100  0.673  0.000
I  0.173  0.400  0.500
I  0.327  0.900  0.000
I  0.400  0.173  0.500
I  0.600  0.827  0.500
I  0.673  0.100  0.000
I  0.827  0.600  0.500
I  0.900  0.327  0.000
Br  0.000  0.000  0.500
Br  0.500  0.500  0.000

Properties
Volume = 35.618 Å³ per atom
Formation energy (no corrections) = -1.248 eV per atom

=====

(18)
Density functional theory data (PBE) for a relaxed structure of TiBeF2.

Unit cell a=4.029 b=4.029 c=4.029 alpha=60.00 beta=60.00 gamma=60.00
Sites, in units of the cell vectors:
Ti  0.000  0.000  0.000
Be  0.500  0.500  0.500
F  0.250  0.250  0.250
F  0.750  0.750  0.750

Properties
Volume = 11.560 Å³ per atom
Excess energy over the best structure of this formula in the dataset = 842.8 meV per atom
Formation energy (no corrections) = -0.903 eV per atom

=====

(19)
Density functional theory data (PBE) for a relaxed structure of RbDy2ReO8.

Unit cell a=4.863 b=4.866 c=7.737 alpha=92.44 beta=92.47 gamma=91.63
Sites, in units of the cell vectors:
Rb  0.000  0.000  0.000
Dy  0.470  0.470  0.716
Dy  0.530  0.530  0.284
Re  0.000  0.000  0.500
O  0.150  0.775  0.325
O  0.225  0.851  0.675
O  0.280  0.281  0.469
O  0.388  0.390  0.999
O  0.612  0.610  0.001
O  0.720  0.719  0.531
O  0.775  0.149  0.325
O  0.850  0.225  0.675

Properties
Volume = 15.222 Å³ per atom
Formation energy (no corrections) = -2.223 eV per atom

=====

(20)
Density functional theory data (PBE) for a relaxed structure of Sr3Te2I.

Unit cell a=9.067 b=9.067 c=13.224 alpha=90.00 beta=90.00 gamma=149.41
Sites, in units of the cell vectors:
Sr  0.014  0.986  0.750
Sr  0.365  0.635  0.008
Sr  0.365  0.635  0.492
Sr  0.635  0.365  0.508
Sr  0.635  0.365  0.992
Sr  0.986  0.014  0.250
Te  0.000  0.000  0.000
Te  0.000  0.000  0.500
Te  0.360  0.640  0.250
Te  0.640  0.360  0.750
I  0.372  0.628  0.750
I  0.628  0.372  0.250

Properties
Volume = 46.108 Å³ per atom
Formation energy (no corrections) = -1.378 eV per atom